Here is a geometry-optimized UCr2HgO8 structure from the Alexandria database. Energies are from GGA+U.

```
UCr2HgO8
1.0
-2.199 -2.673 -4.722
5.404 2.247 -0.159
3.098 -7.261 2.667
O U Cr Hg
8 1 2 1
direct
0.333 0.667 0.589 O
0.341 0.170 0.140 O
0.170 0.830 0.860 O
0.170 0.341 0.860 O
0.830 0.170 0.140 O
0.830 0.659 0.140 O
0.659 0.830 0.860 O
0.667 0.333 0.411 O
0.000 0.000 0.000 U
0.667 0.333 0.218 Cr
0.333 0.667 0.782 Cr
0.000 0.000 0.500 Hg
```

Calculated values
The value obtained for the total magnetization is 1.99 μB per cell. As for the density of states at the Fermi level: 5.6 states/eV per cell. For the total energy, the calculation gives -86.0 eV for the cell shown.